(w)
CdRe: optimized geometry, PBEsol.

Lattice parameters (Å, degrees): 5.4008 5.4008 5.4008 146.25 127.35 64.02
Fractional positions:
Cd1 0.3665 0.1165 0.2500
Cd2 0.6335 0.8835 0.7500
Re1 0.1023 0.3523 0.7500
Re2 0.8977 0.6477 0.2500

Computed properties:
As for the density of states at the Fermi level: 0.709 states/eV/atom. The spin magnetization is 0.000 Bohr magnetons per cell. Its mass density is 14.4 g/cm³.



(x)
CdRe: optimized geometry, PBEsol.

Lattice parameters (Å, degrees): 4.5128 4.5128 4.6928 90.00 90.00 120.00
Fractional positions:
Cd1 0.3333 0.6667 0.2500
Cd2 0.6667 0.3333 0.7500
Re1 0.0000 0.0000 0.0000
Re2 0.0000 0.0000 0.5000

Computed properties:
As for the density of states at the Fermi level: 1.292 states/eV/atom. The spin magnetization is 0.001 Bohr magnetons per cell. Its mass density is 12.0 g/cm³.



(y)
CdRe: optimized geometry, PBEsol.

Lattice parameters (Å, degrees): 2.9594 2.9594 7.9113 90.00 90.00 90.00
Fractional positions:
Cd1 0.2500 0.2500 0.1432
Cd2 0.7500 0.7500 0.8568
Re1 0.2500 0.2500 0.5916
Re2 0.7500 0.7500 0.4084

Computed properties:
As for the density of states at the Fermi level: 0.399 states/eV/atom. The spin magnetization is 0.000 Bohr magnetons per cell. Its mass density is 14.3 g/cm³.



The structure with the most favorable energy is (y); the runner-up is 0.455 eV/atom above it.



(w)
CdRe3: optimized geometry, PBEsol.

Lattice parameters (Å, degrees): 2.7860 2.7860 9.2561 90.00 90.00 120.00
Fractional positions:
Cd1 0.0000 0.0000 0.0000
Re1 0.0000 0.0000 0.5000
Re2 0.6667 0.3333 0.2678
Re3 0.6667 0.3333 0.7322

Computed properties:
As for the density of states at the Fermi level: 0.861 states/eV/atom. The spin magnetization is 0.000 Bohr magnetons per cell. Its mass density is 17.9 g/cm³.



(x)
CdRe3: optimized geometry, PBEsol.

Lattice parameters (Å, degrees): 4.8095 4.8095 4.8095 90.00 90.00 90.00
Fractional positions:
Cd1 0.0000 0.0000 0.0000
Re1 0.0000 0.0000 0.5000
Re2 0.0000 0.5000 0.0000
Re3 0.5000 0.0000 0.0000

Computed properties:
As for the density of states at the Fermi level: 2.058 states/eV/atom. The spin magnetization is 0.001 Bohr magnetons per cell. Its mass density is 10.0 g/cm³.



The structure with the most favorable energy is (w); the runner-up is 4.532 eV/atom above it.



(w)
CdRe2Sb: optimized geometry, PBEsol.

Lattice parameters (Å, degrees): 2.9893 2.9992 8.5736 90.00 99.95 90.00
Fractional positions:
Cd1 0.0000 0.0000 0.0000
Re1 0.2067 0.0000 0.4161
Re2 0.6182 0.5000 0.2374
Sb1 0.8221 0.5000 0.6486

Computed properties:
As for the density of states at the Fermi level: 0.752 states/eV/atom. The spin magnetization is 0.000 Bohr magnetons per cell. Its mass density is 13.3 g/cm³.



(x)
CdRe2Sb: optimized geometry, PBEsol.

Lattice parameters (Å, degrees): 4.6160 4.6160 4.6160 60.00 60.00 60.00
Fractional positions:
Cd1 0.0000 0.0000 0.0000
Re1 0.5000 0.5000 0.5000
Re2 0.7500 0.7500 0.7500
Sb1 0.2500 0.2500 0.2500

Computed properties:
As for the density of states at the Fermi level: 1.156 states/eV/atom. The spin magnetization is 0.000 Bohr magnetons per cell. Its mass density is 14.5 g/cm³.



The structure with the most favorable energy is (w); the runner-up is 0.616 eV/atom above it.



(w)
ScCd2Re: optimized geometry, PBEsol.

Lattice parameters (Å, degrees): 4.6712 4.6712 4.6712 60.00 60.00 60.00
Fractional positions:
Sc1 0.0000 0.0000 0.0000
Cd1 0.2500 0.2500 0.2500
Cd2 0.7500 0.7500 0.7500
Re1 0.5000 0.5000 0.5000

Computed properties:
As for the density of states at the Fermi level: 1.019 states/eV/atom. The spin magnetization is 0.001 Bohr magnetons per cell. Its mass density is 10.5 g/cm³.



(x)
ScCd2Re: optimized geometry, PBEsol.

Lattice parameters (Å, degrees): 2.8623 4.2326 5.9980 90.00 90.00 90.00
Fractional positions:
Sc1 0.0000 0.0000 0.0000
Cd1 0.0000 0.0000 0.5262
Cd2 0.5000 0.5000 0.2793
Re1 0.5000 0.5000 0.7853

Computed properties:
As for the density of states at the Fermi level: 0.435 states/eV/atom. The spin magnetization is 0.000 Bohr magnetons per cell. Its mass density is 10.4 g/cm³.



The structure with the most favorable energy is (x); the runner-up is 0.150 eV/atom above it.



(w)
Cd2ReSe: optimized geometry, PBEsol.

Lattice parameters (Å, degrees): 2.7741 2.7741 10.1839 90.00 90.00 109.13
Fractional positions:
Cd1 0.0000 0.0000 0.2290
Cd2 0.0000 0.0000 0.7710
Re1 0.5000 0.5000 0.0000
Se1 0.5000 0.5000 0.5000

Computed properties:
As for the density of states at the Fermi level: 0.425 states/eV/atom. The spin magnetization is 0.000 Bohr magnetons per cell. Its mass density is 11.0 g/cm³.



(x)
Cd2ReSe: optimized geometry, PBEsol.

Lattice parameters (Å, degrees): 2.7592 4.5195 5.8476 90.00 90.00 90.00
Fractional positions:
Cd1 0.0000 0.0000 0.2323
Cd2 0.0000 0.0000 0.7677
Re1 0.5000 0.5000 0.0000
Se1 0.5000 0.5000 0.5000

Computed properties:
As for the density of states at the Fermi level: 0.837 states/eV/atom. The spin magnetization is 0.001 Bohr magnetons per cell. Its mass density is 11.2 g/cm³.



(y)
Cd2ReSe: optimized geometry, PBEsol.

Lattice parameters (Å, degrees): 3.5971 3.5971 5.5960 90.00 90.00 90.00
Fractional positions:
Cd1 0.0000 0.0000 0.2424
Cd2 0.0000 0.0000 0.7576
Re1 0.5000 0.5000 0.0000
Se1 0.5000 0.5000 0.5000

Computed properties:
As for the density of states at the Fermi level: 0.981 states/eV/atom. The spin magnetization is 0.002 Bohr magnetons per cell. Its mass density is 11.2 g/cm³.



(z)
Cd2ReSe: optimized geometry, PBEsol.

Lattice parameters (Å, degrees): 4.1214 5.5909 5.5909 35.58 90.00 90.00
Fractional positions:
Cd1 0.0000 0.0000 0.0000
Cd2 0.5000 0.3414 0.3414
Re1 0.0000 0.7355 0.7355
Se1 0.5000 0.6148 0.6148

Computed properties:
As for the density of states at the Fermi level: 0.615 states/eV/atom. The spin magnetization is 0.000 Bohr magnetons per cell. Its mass density is 10.9 g/cm³.



The structure with the most favorable energy is (z); the runner-up is 0.083 eV/atom above it.



(w)
CdReSe: optimized geometry, PBEsol.

Lattice parameters (Å, degrees): 4.3554 4.3554 4.3554 60.00 60.00 60.00
Fractional positions:
Cd1 0.0000 0.0000 0.0000
Re1 0.2500 0.2500 0.2500
Se1 0.5000 0.5000 0.5000

Computed properties:
As for the density of states at the Fermi level: 1.039 states/eV/atom. The spin magnetization is 0.000 Bohr magnetons per cell. Its mass density is 10.7 g/cm³.



(x)
CdReSe: optimized geometry, PBEsol.

Lattice parameters (Å, degrees): 4.6808 4.6808 2.7113 90.00 90.00 120.00
Fractional positions:
Cd1 0.0000 0.0000 0.0000
Re1 0.3333 0.6667 0.5000
Se1 0.6667 0.3333 0.5000

Computed properties:
As for the density of states at the Fermi level: 0.760 states/eV/atom. The spin magnetization is 0.000 Bohr magnetons per cell. Its mass density is 12.2 g/cm³.



The structure with the most favorable energy is (x); the runner-up is 0.240 eV/atom above it.



(w)
CdRe2Si: optimized geometry, PBEsol.

Lattice parameters (Å, degrees): 4.3455 4.3455 3.1017 90.00 90.00 90.00
Fractional positions:
Cd1 0.0000 0.0000 0.0000
Re1 0.0000 0.5000 0.5000
Re2 0.5000 0.0000 0.5000
Si1 0.5000 0.5000 0.0000

Computed properties:
As for the density of states at the Fermi level: 0.698 states/eV/atom. The spin magnetization is 0.000 Bohr magnetons per cell. Its mass density is 14.5 g/cm³.



(x)
CdRe2Si: optimized geometry, PBEsol.

Lattice parameters (Å, degrees): 5.2923 5.2923 5.2923 147.00 131.19 60.19
Fractional positions:
Cd1 0.0000 0.0000 0.0000
Re1 0.2809 0.7809 0.5000
Re2 0.5266 0.5266 0.0000
Si1 0.7390 0.2390 0.5000

Computed properties:
As for the density of states at the Fermi level: 0.613 states/eV/atom. The spin magnetization is 0.000 Bohr magnetons per cell. Its mass density is 14.1 g/cm³.



(y)
CdRe2Si: optimized geometry, PBEsol.

Lattice parameters (Å, degrees): 5.3228 5.3228 5.3228 148.11 129.19 61.25
Fractional positions:
Cd1 0.0000 0.0000 0.0000
Re1 0.2878 0.7878 0.5000
Re2 0.7122 0.2122 0.5000
Si1 0.5000 0.5000 0.0000

Computed properties:
As for the density of states at the Fermi level: 0.631 states/eV/atom. The spin magnetization is 0.000 Bohr magnetons per cell. Its mass density is 13.9 g/cm³.



(z)
CdRe2Si: optimized geometry, PBEsol.

Lattice parameters (Å, degrees): 3.0003 3.0003 6.8132 90.00 90.00 90.00
Fractional positions:
Cd1 0.0000 0.0000 0.0000
Re1 0.0000 0.0000 0.5266
Re2 0.5000 0.5000 0.2868
Si1 0.5000 0.5000 0.7184

Computed properties:
As for the density of states at the Fermi level: 0.406 states/eV/atom. The spin magnetization is 0.000 Bohr magnetons per cell. Its mass density is 13.9 g/cm³.



The structure with the most favorable energy is (z); the runner-up is 0.158 eV/atom above it.



(w)
SrCd2Re: optimized geometry, PBEsol.

Lattice parameters (Å, degrees): 6.1843 6.1843 6.1843 152.22 128.96 59.10
Fractional positions:
Sr1 0.0000 0.0000 0.0000
Cd1 0.2825 0.7825 0.5000
Cd2 0.5310 0.5310 0.0000
Re1 0.7470 0.2470 0.5000

Computed properties:
As for the density of states at the Fermi level: 0.901 states/eV/atom. The spin magnetization is 0.001 Bohr magnetons per cell. Its mass density is 9.7 g/cm³.



(x)
SrCd2Re: optimized geometry, PBEsol.

Lattice parameters (Å, degrees): 5.2524 5.2524 5.2524 128.95 128.95 75.10
Fractional positions:
Sr1 0.0000 0.0000 0.0000
Cd1 0.2500 0.7500 0.5000
Cd2 0.7500 0.2500 0.5000
Re1 0.5000 0.5000 0.0000

Computed properties:
As for the density of states at the Fermi level: 1.129 states/eV/atom. The spin magnetization is 1.332 Bohr magnetons per cell. Its mass density is 9.7 g/cm³.



The structure with the most favorable energy is (w); the runner-up is 0.022 eV/atom above it.